No. 1
This record from Alexandria describes an optimized crystal structure of CaVCdSn2. The functional is PBE-GGA.

Calculated values
Symmetry = P4/mmm (123)
Total energy = -13.1 eV per cell
Calculated volume = 34.8 Å³ per atom
ΔE_f = 1397 meV/atom

a b c (Å): 5.6185 5.6185 5.5150
angles (deg): 90.00 90.00 90.00
With the nearest neighbours (Å) after each atom.
Positions (direct):
V1 0.5000 0.5000 0.5000  8 Sn 3.94, 4 Cd 3.97
Sn1 0.0000 0.5000 0.0000  2 Ca 2.81
Ca1 0.0000 0.0000 0.0000  2 Cd 2.76, 4 Sn 2.81
Cd1 0.0000 0.0000 0.5000  2 Ca 2.76
Sn2 0.5000 0.0000 0.0000  2 Ca 2.81

No. 2
This record from Alexandria describes an optimized crystal structure of BeRe2Sb. The functional is PBE-GGA.

Calculated values
Energy relative to the elements, uncorrected = 0.45 eV per atom
Symmetry = C2/m (12)
Total energy = -31.0 eV per cell
Calculated volume = 15.3 Å³ per atom
Excess energy over the best structure of this formula in the dataset = 270 meV per atom

a b c (Å): 4.5385 4.5385 4.9037
angles (deg): 77.58 77.58 38.53
With the nearest neighbours (Å) after each atom.
Positions (direct):
Re1 0.5220 0.5220 0.4568  3 Be 2.49-2.75, 2 Re 2.62, 1 Sb 2.68
Re2 0.9780 0.9780 0.0432  3 Be 2.49-2.75, 2 Re 2.62, 1 Sb 2.68
Be1 0.2500 0.2500 0.2500  6 Re 2.49-2.75
Sb1 0.7500 0.7500 0.7500  6 Re 2.68-2.87, 4 Be 2.87, 2 Sb 3.00

No. 3
This record from Alexandria describes an optimized crystal structure of TlFe2Os. The functional is PBE-GGA.

Calculated values
Symmetry = P4/mmm (123)
Total energy = -28.4 eV per cell
Calculated volume = 15.2 Å³ per atom
Excess energy over the best structure of this formula in the dataset = 0 meV per atom
ΔE_f = 518 meV/atom

a b c (Å): 2.8105 2.8105 7.7064
angles (deg): 90.00 90.00 90.00
With the nearest neighbours (Å) after each atom.
Positions (direct):
Fe1 0.0000 0.0000 0.0331  4 Os 2.60, 4 Fe 2.81
Os1 0.5000 0.5000 0.2500  8 Fe 2.60, 4 Os 2.81
Fe2 0.0000 0.0000 0.4669  4 Os 2.60, 4 Fe 2.81
Tl1 0.5000 0.5000 0.7500  4 Tl 2.81, 8 Fe 2.95

No. 4
This record from Alexandria describes an optimized crystal structure of ZrCd2IrAu. The functional is PBE-GGA.

Calculated values
Symmetry = P4/mmm (123)
Total energy = -18.6 eV per cell
Calculated volume = 25.7 Å³ per atom
ΔE_f = 777 meV/atom

a b c (Å): 5.0202 5.0942 5.0202
angles (deg): 90.00 90.00 90.00
With the nearest neighbours (Å) after each atom.
Positions (direct):
Cd1 0.5000 0.0000 0.0000  2 Ir 2.51
Ir1 0.0000 0.0000 0.0000  4 Cd 2.51, 2 Au 2.55
Au1 0.0000 0.5000 0.0000  2 Ir 2.55
Zr1 0.5000 0.5000 0.5000  4 Au 3.55, 8 Cd 3.58
Cd2 0.0000 0.0000 0.5000  2 Ir 2.51

No. 5
This record from Alexandria describes an optimized crystal structure of Pr2Sm4Ho. The functional is PBE-GGA.

Calculated values
Symmetry = R-3m (166)
Total energy = -32.9 eV per cell
Calculated volume = 34.0 Å³ per atom
Excess energy over the best structure of this formula in the dataset = 0 meV per atom
ΔE_f = 15 meV/atom

a b c (Å): 3.6368 3.6368 20.8779
angles (deg): 85.00 85.00 60.00
With the nearest neighbours (Å) after each atom.
Positions (direct):
Pr1 0.5719 0.5719 0.2843  6 Pr 3.64, 6 Sm 3.67-3.68
Sm1 0.1431 0.1431 0.5707  9 Sm 3.61-3.64, 3 Pr 3.67
Ho1 0.0000 0.0000 0.0000  6 Sm 3.57, 6 Ho 3.64
Pr2 0.4281 0.4281 0.7157  6 Pr 3.64, 6 Sm 3.67-3.68
Sm2 0.2870 0.2870 0.1390  3 Ho 3.57, 6 Sm 3.64, 3 Pr 3.68
Sm3 0.8569 0.8569 0.4293  9 Sm 3.61-3.64, 3 Pr 3.67
Sm4 0.7130 0.7130 0.8610  3 Ho 3.57, 6 Sm 3.64, 3 Pr 3.68

No. 6
This record from Alexandria describes an optimized crystal structure of Si2PCl. The functional is PBE-GGA.

Calculated values
Energy relative to the elements, uncorrected = 0.55 eV per atom
Symmetry = I-4m2 (119)
Total energy = -15.9 eV per cell
Calculated volume = 19.0 Å³ per atom
Excess energy over the best structure of this formula in the dataset = 526 meV per atom

a b c (Å): 6.6284 6.6284 6.6284
angles (deg): 149.21 149.21 44.10
With the nearest neighbours (Å) after each atom.
Positions (direct):
Si1 0.2500 0.7500 0.5000  4 P 2.49
Si2 0.0000 0.0000 0.0000  4 Cl 2.49
P1 0.7500 0.2500 0.5000  4 Si 2.49
Cl1 0.5000 0.5000 0.0000  4 Si 2.49

> calculated volume of number 4 (ZrCd2IrAu)?

25.7 Å³ per atom